[1]
The following is a GGA-PBE calculation of a relaxed Mg3P2Rh5 crystal, from Alexandria via LeMat-Bulk.

Lattice parameters (Å, degrees): 3.300 9.568 9.568 90.00 90.00 90.00
Fractional coordinates of all 20 atoms:
Mg 0.000 0.327 0.827
Mg 0.000 0.673 0.173
Mg 0.000 0.173 0.327
Mg 0.000 0.827 0.673
Mg 0.000 0.000 0.000
Mg 0.000 0.500 0.500
P 0.000 0.129 0.629
P 0.000 0.871 0.371
P 0.000 0.371 0.129
P 0.000 0.629 0.871
Rh 0.500 0.214 0.073
Rh 0.500 0.786 0.927
Rh 0.500 0.927 0.214
Rh 0.500 0.073 0.786
Rh 0.500 0.286 0.573
Rh 0.500 0.714 0.427
Rh 0.500 0.573 0.714
Rh 0.500 0.427 0.286
Rh 0.500 0.000 0.500
Rh 0.500 0.500 0.000

Calculated values
- E: -118.538 eV/cell
- Calculated density: 7.14 g/cm3


[2]
The following is a GGA-PBE calculation of a relaxed BiPd2PbI crystal, from Alexandria via LeMat-Bulk.

Lattice parameters (Å, degrees): 5.153 6.203 5.153 90.00 90.00 90.00
Fractional coordinates of all 5 atoms:
Pb 0.500 0.500 0.500
I 0.000 0.500 0.000
Bi 0.000 0.000 0.000
Pd 0.000 0.000 0.500
Pd 0.500 0.000 0.000

Calculated values
- Formation energy without anion corrections: 0.433 eV per atom
- E: -17.359 eV/cell
- Calculated density: 7.62 g/cm3


Computed spin magnetization (μB/f.u.) in order:
0.00 0.00